VASP calculation (PBE with a Hubbard U) on a relaxed MgNpCo2O8 crystal. Values from VASP.

energy: -83.0 eV per formula unit

Cell and atoms, written as Quantum ESPRESSO input:
```
&SYSTEM
  ibrav = 0, nat = 12, ntyp = 4
/
ATOMIC_SPECIES
Mg 24.30 Mg.upf
Np 237.00 Np.upf
Co 58.93 Co.upf
O 16.00 O.upf
ATOMIC_POSITIONS angstrom
Mg 0.000 0.000 0.000
Np 0.000 3.329 1.632
Co 3.329 0.000 1.632
Co 0.000 0.000 3.263
O 2.130 0.000 0.366
O 4.527 0.000 0.366
O 3.329 2.012 -1.285
O 3.329 -1.199 2.897
O 0.000 1.317 1.978
O 3.329 1.199 2.897
O 2.012 3.329 1.285
O 1.317 0.000 4.548
CELL_PARAMETERS angstrom
-3.329 3.329 3.263
3.329 -3.329 3.263
3.329 3.329 -3.263
```